Entry 1:
The following is a DFT calculation (PBE) of crystalline Sm2Cu3SiNi12 at its relaxed geometry.

Properties
The space-group type is No. 166. The uncorrected formation energy comes out at 0.12 eV per atom.

Cell: 9.0637 9.0637 9.0637 Å, 38.57 38.57 38.57°
Fractional coordinates of all 18 atoms:
1 Sm 0.1528 0.1528 0.1528
2 Sm 0.8472 0.8472 0.8472
3 Cu 0.0000 0.5000 0.5000
4 Cu 0.5000 0.0000 0.5000
5 Cu 0.5000 0.5000 0.0000
6 Si 0.5000 0.5000 0.5000
7 Ni 0.0783 0.0783 0.6886
8 Ni 0.0783 0.6886 0.0783
9 Ni 0.1516 0.5709 0.5709
10 Ni 0.3114 0.9217 0.9217
11 Ni 0.4291 0.4291 0.8484
12 Ni 0.4291 0.8484 0.4291
13 Ni 0.5709 0.1516 0.5709
14 Ni 0.5709 0.5709 0.1516
15 Ni 0.6886 0.0783 0.0783
16 Ni 0.8484 0.4291 0.4291
17 Ni 0.9217 0.3114 0.9217
18 Ni 0.9217 0.9217 0.3114

Entry 2:
The following is a DFT calculation (PBE) of crystalline Be2CdAs at its relaxed geometry.

Properties
The space-group type is No. 25. The energy of formation from the pure elements is 8.088 kcal/mol of atoms. The value obtained for the polymorph energy (0 for the lowest one) is 151 meV per atom.

Cell: 2.7356 3.3008 6.9866 Å, 90.00 90.00 90.00°
Fractional coordinates of all 4 atoms:
1 Be 0.0000 0.0000 0.0000
2 Be 0.5000 0.5000 0.1547
3 Cd 0.0000 0.0000 0.3891
4 As 0.5000 0.5000 0.8167

Entry 3:
The following is a DFT calculation (PBE) of crystalline CaSeBr2 at its relaxed geometry.

Properties
The space-group type is No. 122. The value obtained for the polymorph energy (0 for the lowest one) is 317 meV per atom. The uncorrected formation energy comes out at -0.92 eV per atom.

Cell: 9.9799 9.9799 6.0571 Å, 90.00 90.00 90.00°
Fractional coordinates of all 16 atoms:
1 Ca 0.0000 0.0000 0.0000
2 Ca 0.0000 0.5000 0.2500
3 Ca 0.5000 0.0000 0.7500
4 Ca 0.5000 0.5000 0.5000
5 Se 0.0000 0.0000 0.5000
6 Se 0.0000 0.5000 0.7500
7 Se 0.5000 0.0000 0.2500
8 Se 0.5000 0.5000 0.0000
9 Br 0.1182 0.2500 0.1250
10 Br 0.2500 0.6182 0.3750
11 Br 0.2500 0.8818 0.8750
12 Br 0.3818 0.2500 0.6250
13 Br 0.6182 0.7500 0.6250
14 Br 0.7500 0.1182 0.8750
15 Br 0.7500 0.3818 0.3750
16 Br 0.8818 0.7500 0.1250